CaMgRu2 | PBE | optimized geometry

CIF file:
```
data_CaMgRu2
_cell_length_a 10.8978
_cell_length_b 3.0047
_cell_length_c 4.8554
_cell_angle_alpha 90.00
_cell_angle_beta 112.82
_cell_angle_gamma 90.00
_space_group_name_H-M_alt 'C 1 m 1'
_space_group_IT_number 8
_space_group_name_Hall 'C -2y'
loop_
_atom_site_label
_atom_site_fract_x
_atom_site_fract_y
_atom_site_fract_z
Ca1 0.0000 0.0000 0.0000
Mg1 0.2101 0.0000 0.6824
Ru1 0.2654 0.5000 0.2354
Ru2 0.4676 0.0000 0.4732
```

Calculated values
Crystal system = monoclinic
Formation enthalpy at 0 K = 86 kJ/mol of formula units

***

CaMg2Ru | PBE | optimized geometry

CIF file:
```
data_CaMg2Ru
_cell_length_a 4.2617
_cell_length_b 4.2617
_cell_length_c 20.0959
_cell_angle_alpha 90.00
_cell_angle_beta 90.00
_cell_angle_gamma 90.00
_space_group_name_H-M_alt 'I -4 2 d'
_space_group_IT_number 122
_space_group_name_Hall 'I -4 2bw'
loop_
_atom_site_label
_atom_site_fract_x
_atom_site_fract_y
_atom_site_fract_z
Ca1 0.0000 0.0000 0.0000
Mg1 0.2012 0.2500 0.6250
Ru1 0.0000 0.0000 0.5000
```

Calculated values
Crystal system = tetragonal
Formation enthalpy at 0 K = 172 kJ/mol of formula units

***

CaMgRu2 | PBE | optimized geometry

CIF file:
```
data_CaMgRu2
_cell_length_a 3.2148
_cell_length_b 4.7535
_cell_length_c 8.9519
_cell_angle_alpha 90.00
_cell_angle_beta 90.00
_cell_angle_gamma 90.00
_space_group_name_H-M_alt 'C m m m'
_space_group_IT_number 65
_space_group_name_Hall '-C 2 2'
loop_
_atom_site_label
_atom_site_fract_x
_atom_site_fract_y
_atom_site_fract_z
Ca1 0.0000 0.0000 0.0000
Mg1 0.0000 0.0000 0.5000
Ru1 0.0000 0.5000 0.2627
```

Calculated values
Crystal system = orthorhombic
Formation enthalpy at 0 K = 150 kJ/mol of formula units

***

Ca2MgRu | PBE | optimized geometry

CIF file:
```
data_Ca2MgRu
_cell_length_a 4.5616
_cell_length_b 3.9781
_cell_length_c 11.3952
_cell_angle_alpha 90.00
_cell_angle_beta 90.00
_cell_angle_gamma 90.00
_space_group_name_H-M_alt 'A m m 2'
_space_group_IT_number 38
_space_group_name_Hall 'A 2 -2'
loop_
_atom_site_label
_atom_site_fract_x
_atom_site_fract_y
_atom_site_fract_z
Ca1 0.0000 0.0000 0.0000
Ca2 0.5000 0.0000 0.2943
Mg1 0.5000 0.0000 0.5917
Ru1 0.0000 0.0000 0.7081
```

Calculated values
Crystal system = orthorhombic
Formation enthalpy at 0 K = 61 kJ/mol of formula units

***

CaMgRu2 | PBE | optimized geometry

CIF file:
```
data_CaMgRu2
_cell_length_a 2.8549
_cell_length_b 4.5150
_cell_length_c 5.7307
_cell_angle_alpha 90.00
_cell_angle_beta 97.87
_cell_angle_gamma 90.00
_space_group_name_H-M_alt 'P 1 2/m 1'
_space_group_IT_number 10
_space_group_name_Hall '-P 2y'
loop_
_atom_site_label
_atom_site_fract_x
_atom_site_fract_y
_atom_site_fract_z
Ca1 0.0000 0.0000 0.0000
Mg1 0.5000 0.0000 0.5000
Ru1 0.2833 0.5000 0.6963
```

Calculated values
Crystal system = monoclinic
Formation enthalpy at 0 K = 132 kJ/mol of formula units

***

CaMg2Ru | PBE | optimized geometry

CIF file:
```
data_CaMg2Ru
_cell_length_a 4.3768
_cell_length_b 4.3768
_cell_length_c 8.3633
_cell_angle_alpha 90.00
_cell_angle_beta 90.00
_cell_angle_gamma 90.00
_space_group_name_H-M_alt 'I 4/m m m'
_space_group_IT_number 139
_space_group_name_Hall '-I 4 2'
loop_
_atom_site_label
_atom_site_fract_x
_atom_site_fract_y
_atom_site_fract_z
Ca1 0.0000 0.0000 0.0000
Mg1 0.0000 0.5000 0.2500
Ru1 0.0000 0.0000 0.5000
```

Calculated values
Crystal system = tetragonal
Formation enthalpy at 0 K = 37 kJ/mol of formula units

***

CaMg2Ru | PBE | optimized geometry

CIF file:
```
data_CaMg2Ru
_cell_length_a 6.8398
_cell_length_b 6.8398
_cell_length_c 6.8398
_cell_angle_alpha 90.00
_cell_angle_beta 90.00
_cell_angle_gamma 90.00
_space_group_name_H-M_alt 'F m -3 m'
_space_group_IT_number 225
_space_group_name_Hall '-F 4 2 3'
loop_
_atom_site_label
_atom_site_fract_x
_atom_site_fract_y
_atom_site_fract_z
Ca1 0.0000 0.0000 0.0000
Mg1 0.2500 0.2500 0.2500
Ru1 0.0000 0.0000 0.5000
```

Calculated values
Crystal system = cubic
Formation enthalpy at 0 K = 41 kJ/mol of formula units

***

Ca2MgRu | PBE | optimized geometry

CIF file:
```
data_Ca2MgRu
_cell_length_a 3.5514
_cell_length_b 3.5514
_cell_length_c 8.1148
_cell_angle_alpha 90.00
_cell_angle_beta 90.00
_cell_angle_gamma 90.00
_space_group_name_H-M_alt 'P 4 m m'
_space_group_IT_number 99
_space_group_name_Hall 'P 4 -2'
loop_
_atom_site_label
_atom_site_fract_x
_atom_site_fract_y
_atom_site_fract_z
Ca1 0.0000 0.0000 0.0000
Ca2 0.5000 0.5000 0.3896
Mg1 0.0000 0.0000 0.6449
Ru1 0.5000 0.5000 0.7679
```

Calculated values
Crystal system = tetragonal
Formation enthalpy at 0 K = 33 kJ/mol of formula units

***

Ca2MgRu | PBE | optimized geometry

CIF file:
```
data_Ca2MgRu
_cell_length_a 4.9736
_cell_length_b 4.9736
_cell_length_c 3.8573
_cell_angle_alpha 90.00
_cell_angle_beta 90.00
_cell_angle_gamma 90.00
_space_group_name_H-M_alt 'P 4/m m m'
_space_group_IT_number 123
_space_group_name_Hall '-P 4 2'
loop_
_atom_site_label
_atom_site_fract_x
_atom_site_fract_y
_atom_site_fract_z
Ca1 0.0000 0.5000 0.0000
Mg1 0.0000 0.0000 0.5000
Ru1 0.5000 0.5000 0.5000
```

Calculated values
Crystal system = tetragonal
Formation enthalpy at 0 K = 99 kJ/mol of formula units

***

CaMg2Ru | PBE | optimized geometry

CIF file:
```
data_CaMg2Ru
_cell_length_a 11.1360
_cell_length_b 3.4662
_cell_length_c 4.9265
_cell_angle_alpha 90.00
_cell_angle_beta 116.19
_cell_angle_gamma 90.00
_space_group_name_H-M_alt 'C 1 2/m 1'
_space_group_IT_number 12
_space_group_name_Hall '-C 2y'
loop_
_atom_site_label
_atom_site_fract_x
_atom_site_fract_y
_atom_site_fract_z
Ca1 0.0000 0.0000 0.0000
Mg1 0.2083 0.0000 0.7080
Ru1 0.0000 0.5000 0.5000
```

Calculated values
Crystal system = monoclinic
Formation enthalpy at 0 K = 21 kJ/mol of formula units

***

CaMgRu4 | PBE | optimized geometry

CIF file:
```
data_CaMgRu4
_cell_length_a 7.4480
_cell_length_b 7.4480
_cell_length_c 7.4480
_cell_angle_alpha 90.00
_cell_angle_beta 90.00
_cell_angle_gamma 90.00
_space_group_name_H-M_alt 'F -4 3 m'
_space_group_IT_number 216
_space_group_name_Hall 'F -4 2 3'
loop_
_atom_site_label
_atom_site_fract_x
_atom_site_fract_y
_atom_site_fract_z
Ca1 0.0000 0.0000 0.0000
Mg1 0.2500 0.2500 0.7500
Ru1 0.1246 0.1246 0.3754
```

Calculated values
Crystal system = cubic
Formation enthalpy at 0 K = 87 kJ/mol of formula units

***

CaMg2Ru2 | PBE | optimized geometry

CIF file:
```
data_CaMg2Ru2
_cell_length_a 4.5248
_cell_length_b 4.5248
_cell_length_c 10.3408
_cell_angle_alpha 90.00
_cell_angle_beta 90.00
_cell_angle_gamma 90.00
_space_group_name_H-M_alt 'I 4/m m m'
_space_group_IT_number 139
_space_group_name_Hall '-I 4 2'
loop_
_atom_site_label
_atom_site_fract_x
_atom_site_fract_y
_atom_site_fract_z
Ca1 0.0000 0.0000 0.0000
Mg1 0.0000 0.5000 0.2500
Ru1 0.0000 0.0000 0.3880
```

Calculated values
Crystal system = tetragonal
Distance to the lowest polymorph of the same formula = 109 meV/atom
Formation enthalpy at 0 K = 125 kJ/mol of formula units

***

no.,DFT total energy (eV for the cell shown)
1,-42.5
2,-50.7
3,-41.2
4,-28.5
5,-20.8
6,-28.2
7,-56.2
8,-14.5
9,-13.8
10,-28.5
11,-159.2
12,-44.9